Record 1
RbLiO2 (PBE, relaxed); ΔE_f (raw) = -0.476 eV/atom; crystal system = trigonal; ρ = 2.642 g/cm3; total magnetization = 2.000 μB per formula unit
1.0
2.0208 0.0000 7.3684
-1.0104 1.7501 7.3684
-1.0104 -1.7501 7.3684
Li Rb O
1 1 2
Direct
0.0000 0.0000 0.0000 Li
0.5000 0.5000 0.5000 Rb
0.9189 0.9189 0.9189 O
0.0811 0.0811 0.0811 O

Record 2
Rb3LiO (PBE, relaxed); ΔE_f (raw) = -0.410 eV/atom; energy above the most stable polymorph in this dataset = 0.0 kJ/mol of formula units; crystal system = cubic; ρ = 2.335 g/cm3; total magnetization = 0.000 μB per formula unit
1.0
-0.5035 -5.0411 -2.8944
-0.6449 -2.8389 5.0566
-5.7771 0.7562 -0.3122
O Rb Li
1 3 1
Direct
0.0000 0.0000 0.0000 O
0.5000 0.0000 0.0000 Rb
0.0000 0.0000 0.5000 Rb
0.0000 0.5000 0.0000 Rb
0.5000 0.5000 0.5000 Li

Record 3
RbLiO3 (PBE, relaxed); ΔE_f (raw) = -0.251 eV/atom; crystal system = cubic; ρ = 3.579 g/cm3; total magnetization = 4.000 μB per formula unit
1.0
4.0237 0.0000 0.0000
0.0000 4.0237 0.0000
0.0000 0.0000 4.0237
O Li Rb
3 1 1
Direct
0.0000 0.5000 0.0000 O
0.5000 0.0000 0.0000 O
0.0000 0.0000 0.5000 O
0.0000 0.0000 0.0000 Li
0.5000 0.5000 0.5000 Rb

Record 4
RbLi2O3 (PBE, relaxed); ΔE_f (raw) = -0.934 eV/atom; energy above the most stable polymorph in this dataset = 162.7 kJ/mol of formula units; crystal system = monoclinic; ρ = 2.759 g/cm3; total magnetization = 3.003 μB per formula unit
1.0
5.9509 0.0000 0.0000
0.0000 5.6563 -1.1153
0.0000 1.0088 5.0709
O Li Rb
6 4 2
Direct
0.7500 0.5495 0.9841 O
0.2500 0.7891 0.7500 O
0.7500 0.2109 0.2500 O
0.2500 0.4510 0.4842 O
0.2500 0.4505 0.0159 O
0.7500 0.5490 0.5158 O
0.5226 0.4560 0.2500 Li
0.0226 0.5440 0.7500 Li
0.9774 0.4560 0.2500 Li
0.4774 0.5440 0.7500 Li
0.2500 0.9733 0.2497 Rb
0.7500 0.0267 0.7503 Rb

Record 5
RbLi3O (PBE, relaxed); ΔE_f (raw) = -0.467 eV/atom; crystal system = cubic; ρ = 2.135 g/cm3; total magnetization = 0.000 μB per formula unit
1.0
-1.0891 -3.3417 -2.9124
-2.2125 -2.1890 3.3390
-3.8411 2.2084 -1.0975
O Li Rb
1 3 1
Direct
0.0000 0.0000 0.0000 O
0.0000 0.0000 0.5000 Li
0.5000 0.0000 0.0000 Li
0.0000 0.5000 0.0000 Li
0.5000 0.5000 0.5000 Rb

Record 6
RbLi2O (PBE, relaxed); ΔE_f (raw) = -0.984 eV/atom; crystal system = tetragonal; ρ = 2.115 g/cm3; total magnetization = 0.000 μB per formula unit
1.0
6.3428 0.0000 0.0000
0.0000 6.3428 0.0000
3.1714 3.1714 4.5028
Li Rb O
4 2 2
Direct
0.3750 0.6250 0.2500 Li
0.3750 0.6250 0.7500 Li
0.3750 0.1250 0.2500 Li
0.8750 0.6250 0.7500 Li
0.7500 0.2500 0.5000 Rb
0.0000 0.0000 0.0000 Rb
0.2500 0.7500 0.5000 O
0.5000 0.5000 0.0000 O

Record 7
RbLiO3 (PBE, relaxed); ΔE_f (raw) = 0.694 eV/atom; crystal system = cubic; ρ = 2.860 g/cm3; total magnetization = 1.174 μB per formula unit
1.0
-0.0781 -3.6778 2.2956
-1.0836 -2.2065 -3.5720
4.1978 -0.6380 -0.8793
Li Rb O
1 1 3
Direct
0.5000 0.5000 0.5000 Li
0.0000 0.0000 0.0000 Rb
0.0000 0.5000 0.0000 O
0.5000 0.0000 0.0000 O
0.0000 0.0000 0.5000 O

Record 8
Rb2LiO (PBE, relaxed); ΔE_f (raw) = -0.879 eV/atom; crystal system = tetragonal; ρ = 2.453 g/cm3; total magnetization = 0.000 μB per formula unit
1.0
11.8387 0.0000 0.0000
0.0000 11.8387 0.0000
5.9194 5.9194 1.8725
O Li Rb
2 2 4
Direct
0.7500 0.2500 0.5000 O
0.0000 0.0000 0.0000 O
0.2500 0.7500 0.5000 Li
0.5000 0.5000 0.0000 Li
0.8924 0.6250 0.2500 Rb
0.8576 0.1250 0.2500 Rb
0.8750 0.1076 0.7500 Rb
0.3750 0.1424 0.7500 Rb

Record 9
RbLi3O2 (PBE, relaxed); ΔE_f (raw) = -1.545 eV/atom; crystal system = monoclinic; ρ = 3.045 g/cm3; total magnetization = 0.000 μB per formula unit
1.0
-1.9151 2.7788 -0.4559
-2.9111 -4.5969 -3.0709
-1.8593 -0.0092 7.7547
O Li Rb
4 6 2
Direct
0.8357 0.6715 0.4102 O
0.5079 0.0158 0.2381 O
0.4921 0.9842 0.7619 O
0.1643 0.3285 0.5898 O
0.3873 0.7746 0.3399 Li
0.6127 0.2254 0.6601 Li
0.6753 0.3506 0.4272 Li
0.0211 0.0422 0.3529 Li
0.3247 0.6494 0.5728 Li
0.9789 0.9578 0.6471 Li
0.1394 0.2789 0.0755 Rb
0.8606 0.7211 0.9245 Rb

Record 10
RbLiO2 (PBE, relaxed); ΔE_f (raw) = -0.383 eV/atom; crystal system = trigonal; ρ = 3.278 g/cm3; total magnetization = 2.000 μB per formula unit
1.0
1.9278 0.0000 6.5273
-0.9639 1.6695 6.5273
-0.9639 -1.6695 6.5273
Li O Rb
1 2 1
Direct
0.5000 0.5000 0.5000 Li
0.8765 0.8765 0.8765 O
0.1235 0.1235 0.1235 O
0.0000 0.0000 0.0000 Rb

Record 11
RbLiO2 (PBE, relaxed); ΔE_f (raw) = -0.414 eV/atom; crystal system = cubic; ρ = 3.205 g/cm3; total magnetization = 2.000 μB per formula unit
1.0
2.2710 -3.4237 1.8373
-2.1646 -3.0512 2.5021
-0.5847 -4.1818 -1.5576
Li Rb O
1 1 2
Direct
0.0000 0.0000 0.0000 Li
0.5000 0.5000 0.5000 Rb
0.2500 0.2500 0.2500 O
0.7500 0.7500 0.7500 O

Record 12
RbLi2O3 (PBE, relaxed); ΔE_f (raw) = -1.215 eV/atom; energy above the most stable polymorph in this dataset = 0.0 kJ/mol of formula units; crystal system = monoclinic; ρ = 2.883 g/cm3; total magnetization = 1.008 μB per formula unit
1.0
-1.0751 -3.8668 3.4829
0.9077 -4.1320 -4.3072
4.9604 0.4823 2.0667
O Rb Li
6 2 4
Direct
0.7500 0.6261 0.0237 O
0.7500 0.4127 0.5076 O
0.2500 0.7848 0.6843 O
0.2500 0.5873 0.4924 O
0.7500 0.2152 0.3157 O
0.2500 0.3739 0.9763 O
0.2500 0.9750 0.2254 Rb
0.7500 0.0250 0.7746 Rb
0.5174 0.4769 0.2176 Li
0.0174 0.5231 0.7824 Li
0.9826 0.4769 0.2176 Li
0.4826 0.5231 0.7824 Li